# LiBeTe2, optimized geometry, DFT PBE
# E_form (uncorrected) in eV per atom: -0.40
# D(E_F) in states/eV per atom: 0.468
# Total DFT energy (no corrections) in eV per atom: -3.380
data_LiBeTe2
_cell_length_a 13.723
_cell_length_b 3.816
_cell_length_c 3.736
_cell_angle_alpha 90.00
_cell_angle_beta 90.05
_cell_angle_gamma 90.00
_symmetry_space_group_name_H-M 'C 1 m 1'
_symmetry_Int_Tables_number 8
_symmetry_space_group_name_Hall 'C -2y'
loop_
_atom_site_label
_atom_site_type_symbol
_atom_site_fract_x
_atom_site_fract_y
_atom_site_fract_z
_atom_site_occupancy
Li1 Li 0.000 0.000 0.000 1
Be1 Be 0.213 0.500 0.002 1
Te1 Te 0.101 0.500 0.502 1
Te2 Te 0.322 0.000 0.003 1